Entry from Alexandria: an optimized crystal structure of Ba2TlPbAu (GGA-PBE).

For the formation energy, the calculation gives -0.56 eV per atom. For the density of states at the Fermi level, the calculation gives 0.31 states/eV/atom. The value obtained for the volume is 360 Å³/cell.

It has space group P2_1/m (No. 11), with a = 8.563 Å, b = 5.141 Å, c = 8.610 Å, α = 90.00°, β = 108.27° and γ = 90.00°. The distinct sites, in fractional coordinates, are Ba at (0.133, 0.250, 0.347), Ba at (0.300, 0.250, 0.951), Tl at (0.430, 0.750, 0.315), Pb at (0.329, 0.750, 0.656) and Au at (0.088, 0.750, 0.056).

---

Entry from Alexandria: an optimized crystal structure of LiLa4Y (GGA-PBE).

The value obtained for the offset from the most stable computed form is 0 meV/atom. For the formation energy, the calculation gives 0.04 eV per atom. For the density of states at the Fermi level, the calculation gives 1.62 states/eV/atom. The value obtained for the volume is 201 Å³/cell.

It has space group P4/mmm (No. 123), with a = 3.727 Å, b = 3.727 Å, c = 14.478 Å, α = 90.00°, β = 90.00° and γ = 90.00°. The distinct sites, in fractional coordinates, are Li at (0.000, 0.000, 0.000), La at (0.000, 0.000, 0.324), La at (0.500, 0.500, 0.152) and Y at (0.500, 0.500, 0.500).

---

Entry from Alexandria: an optimized crystal structure of TiGa2SbP (GGA-PBE).

Its formation energy (no corrections) is 985 meV/atom. For the density of states at the Fermi level, the calculation gives 1.02 states/eV/atom. The value obtained for the volume is 138 Å³/cell.

It has space group P4/mmm (No. 123), with a = 5.156 Å, b = 5.156 Å, c = 5.200 Å, α = 90.00°, β = 90.00° and γ = 90.00°. The distinct sites, in fractional coordinates, are Ti at (0.000, 0.000, 0.000), Ga at (0.000, 0.500, 0.500), Sb at (0.000, 0.000, 0.500) and P at (0.500, 0.500, 0.000).

---

Entry from Alexandria: an optimized crystal structure of AcTlTe2 (GGA-PBE).

The value obtained for the offset from the most stable computed form is 153 meV/atom. Its formation energy (no corrections) is -994 meV/atom. For the density of states at the Fermi level, the calculation gives 0.24 states/eV/atom. The value obtained for the volume is 133 Å³/cell.

It has space group P4/mmm (No. 123), with a = 5.597 Å, b = 5.597 Å, c = 4.236 Å, α = 90.00°, β = 90.00° and γ = 90.00°. The distinct sites, in fractional coordinates, are Ac at (0.000, 0.000, 0.000), Tl at (0.500, 0.500, 0.000) and Te at (0.000, 0.500, 0.500).

---

Entry from Alexandria: an optimized crystal structure of TlSi2Ag (GGA-PBE).

The value obtained for the offset from the most stable computed form is 120 meV/atom. Its formation energy (no corrections) is 384 meV/atom. For the density of states at the Fermi level, the calculation gives 0.38 states/eV/atom. The value obtained for the volume is 81 Å³/cell.

It has space group Pmm2 (No. 25), with a = 3.000 Å, b = 3.506 Å, c = 7.661 Å, α = 90.00°, β = 90.00° and γ = 90.00°. The distinct sites, in fractional coordinates, are Tl at (0.000, 0.000, 0.000), Si at (0.000, 0.000, 0.515), Si at (0.500, 0.500, 0.676) and Ag at (0.500, 0.500, 0.303).

---

Entry from Alexandria: an optimized crystal structure of Na2ErHf2S6 (GGA-PBE).

Its formation energy (no corrections) is -1640 meV/atom. For the density of states at the Fermi level, the calculation gives 0.34 states/eV/atom. The value obtained for the volume is 496 Å³/cell.

It has space group C2/m (No. 12), with a = 6.443 Å, b = 11.245 Å, c = 7.163 Å, α = 90.00°, β = 107.16° and γ = 90.00°. The distinct sites, in fractional coordinates, are Na at (0.000, 0.163, 0.000), Er at (0.000, 0.000, 0.500), Hf at (0.000, 0.334, 0.500), S at (0.222, 0.500, 0.718) and S at (0.244, 0.175, 0.717).

---

What is the formula in the fifth record? TlSi2Ag